## TaNb3Se8 (PBE)

Data for an optimized crystal structure of TaNb3Se8.

Computed properties:
raw formation energy: -817 meV per atom
E: -159.5 eV/cell
total magnetization: 0.000 μB per atom
V: 572.2 Å³ per cell

Cell lengths 12.044, 6.949, 7.875 Å; angles 90.00, 119.76, 90.00 degrees
Space group C2/m (No. 12)
Symmetry-distinct sites (fractional):
1 Ta 0.000 0.000 0.000 (multiplicity 2)
2 Nb 0.000 0.500 0.000 (multiplicity 2)
3 Nb 0.250 0.250 0.000 (multiplicity 4)
4 Se 0.003 0.249 0.754 (multiplicity 8)
5 Se 0.246 0.000 0.246 (multiplicity 4)
6 Se 0.247 0.500 0.247 (multiplicity 4)

---

## AcNd2ErBi4 (PBE)

Data for an optimized crystal structure of AcNd2ErBi4.

Computed properties:
E: -40.9 eV/cell
total magnetization: 0.000 μB per atom
V: 283.5 Å³ per cell
E_form: -86.7 kJ/mol of atoms

Cell lengths 8.034, 4.648, 8.050 Å; angles 90.00, 109.41, 90.00 degrees
Space group P2/m (No. 10)
Symmetry-distinct sites (fractional):
1 Ac 0.000 0.000 0.000 (multiplicity 1)
2 Nd 0.000 0.500 0.500 (multiplicity 1)
3 Nd 0.500 0.000 0.500 (multiplicity 1)
4 Er 0.500 0.500 0.000 (multiplicity 1)
5 Bi 0.262 0.000 0.753 (multiplicity 2)
6 Bi 0.263 0.500 0.256 (multiplicity 2)

---

## HfMoPd (PBE)

Data for an optimized crystal structure of HfMoPd.

Computed properties:
E: -53.2 eV/cell
total magnetization: 0.000 μB per atom
V: 108.3 Å³ per cell
E_form: -20.5 kJ/mol of atoms

Cell lengths 3.763, 3.763, 7.652 Å; angles 90.00, 90.00, 90.00 degrees
Space group P4/nmm (No. 129, origin choice 2)
Symmetry-distinct sites (fractional):
1 Hf 0.250 0.250 0.147 (multiplicity 2)
2 Mo 0.250 0.750 0.500 (multiplicity 2)
3 Pd 0.250 0.250 0.781 (multiplicity 2)

---

## FeTe2As2 (PBE)

Data for an optimized crystal structure of FeTe2As2.

Computed properties:
raw formation energy: 181 meV per atom
E: -46.3 eV/cell
total magnetization: 0.374 μB per atom
V: 234.3 Å³ per cell

Cell lengths 6.209, 6.209, 6.076 Å; angles 90.00, 90.00, 90.00 degrees
Space group P4/mbm (No. 127)
Symmetry-distinct sites (fractional):
1 Fe 0.000 0.000 0.000 (multiplicity 2)
2 Te 0.172 0.328 0.500 (multiplicity 4)
3 As 0.147 0.353 0.000 (multiplicity 4)

---

## NaAlSn (PBE)

Data for an optimized crystal structure of NaAlSn.

Computed properties:
E: -18.2 eV/cell
total magnetization: 0.000 μB per atom
V: 143.3 Å³ per cell
E_form: -0.8 kJ/mol of atoms

Cell lengths 3.275, 4.823, 9.077 Å; angles 90.00, 90.00, 90.00 degrees
Space group Pmmm (No. 47)
Symmetry-distinct sites (fractional):
1 Na 0.000 0.000 0.000 (multiplicity 1)
2 Na 0.000 0.500 0.500 (multiplicity 1)
3 Al 0.500 0.000 0.349 (multiplicity 2)
4 Sn 0.500 0.500 0.182 (multiplicity 2)

---

## Fe4SbPt (PBE)

Data for an optimized crystal structure of Fe4SbPt.

Computed properties:
raw formation energy: 93 meV per atom
E: -173.8 eV/cell
total magnetization: 1.577 μB per atom
V: 332.5 Å³ per cell

Cell lengths 6.928, 6.928, 6.928 Å; angles 90.00, 90.00, 90.00 degrees
Space group F-43m (No. 216)
Symmetry-distinct sites (fractional):
1 Fe 0.125 0.125 0.125 (multiplicity 16)
2 Sb 0.250 0.250 0.750 (multiplicity 4)
3 Pt 0.000 0.000 0.500 (multiplicity 4)